Density functional theory data (PBEsol) for a relaxed structure of HfTaSn2Os.

Values from the calculation:
The energy comes out at -7.4598 eV per atom. Its density of states at the Fermi level is 1.024 states/eV per atom. The magnetic moment comes out at 0.000 μB per atom. The symmetry is P4/mmm.

Cell and atoms, written as POSCAR:
```
HfTaSn2Os
1.0
4.7106 0.0000 0.0000
0.0000 5.1296 0.0000
0.0000 0.0000 5.1296
Hf Os Sn Ta
1 1 2 1
Direct
0.5000 0.5000 0.5000
0.5000 0.0000 0.0000
0.0000 0.0000 0.5000
0.0000 0.5000 0.0000
0.0000 0.0000 0.0000
```

***

Density functional theory data (PBEsol) for a relaxed structure of SrHf3Os.

Values from the calculation:
The energy comes out at -8.7986 eV per atom. Its density of states at the Fermi level is 1.194 states/eV per atom. The magnetic moment comes out at 0.000 μB per atom. The symmetry is Pm-3m.

Cell and atoms, written as POSCAR:
```
SrHf3Os
1.0
5.0840 0.0000 0.0000
0.0000 5.0840 0.0000
0.0000 0.0000 5.0840
Hf Os Sr
3 1 1
Direct
0.0000 0.5000 0.0000
0.0000 0.0000 0.5000
0.5000 0.0000 0.0000
0.0000 0.0000 0.0000
0.5000 0.5000 0.5000
```

***

Density functional theory data (PBEsol) for a relaxed structure of SrHf2Os.

Values from the calculation:
The energy comes out at -8.3805 eV per atom. Its density of states at the Fermi level is 1.079 states/eV per atom. The magnetic moment comes out at 0.000 μB per atom. The symmetry is Fm-3m.

Cell and atoms, written as POSCAR:
```
SrHf2Os
1.0
4.8384 0.0000 0.0000
2.4192 4.1902 0.0000
2.4192 1.3967 3.9505
Hf Os Sr
2 1 1
Direct
0.2500 0.2500 0.2500
0.7500 0.7500 0.7500
0.5000 0.5000 0.5000
0.0000 0.0000 0.0000
```

***

Density functional theory data (PBEsol) for a relaxed structure of Hf2TcOs.

Values from the calculation:
The energy comes out at -11.7366 eV per atom. Its density of states at the Fermi level is 0.777 states/eV per atom. The magnetic moment comes out at 0.000 μB per atom. The symmetry is Fm-3m.

Cell and atoms, written as POSCAR:
```
Hf2TcOs
1.0
-2.1757 3.9748 -0.3957
-2.2186 1.0057 -3.8413
-4.5470 0.1098 -0.0381
Os Hf Tc
1 2 1
Direct
0.5000 0.5000 0.5000
0.2500 0.2500 0.2500
0.7500 0.7500 0.7500
0.0000 0.0000 0.0000
```